DFT (PBE) results for a relaxed ZnSiPt2 crystal.

Structure (CIF):
```
data_ZnSiPt2
_chemical_formula_sum 'Zn1 Si1 Pt2'
_space_group_name_H-M_alt 'P 1'
_space_group_IT_number 1
_cell_length_a 4.659
_cell_length_b 4.659
_cell_length_c 4.659
_cell_angle_alpha 132.13
_cell_angle_beta 125.39
_cell_angle_gamma 75.53
loop_
_space_group_symop_operation_xyz
'x,y,z'
loop_
_atom_site_label
_atom_site_type_symbol
_atom_site_fract_x
_atom_site_fract_y
_atom_site_fract_z
Zn1 Zn 0.000 0.000 0.000
Si1 Si 0.500 0.500 0.000
Pt1 Pt 0.291 0.791 0.500
Pt2 Pt 0.709 0.209 0.500
```

Results
Space group: Immm
E_form (uncorrected) (kJ/mol of atoms): -43.95
Density (Mg/m³): 13.498
E (eV per atom): -5.150


DFT (PBE) results for a relaxed ErAl9Ni2 crystal.

Structure (CIF):
```
data_ErAl9Ni2
_chemical_formula_sum 'Er2 Al18 Ni4'
_space_group_name_H-M_alt 'P 1'
_space_group_IT_number 1
_cell_length_a 8.223
_cell_length_b 8.223
_cell_length_c 8.223
_cell_angle_alpha 100.10
_cell_angle_beta 100.10
_cell_angle_gamma 130.48
loop_
_space_group_symop_operation_xyz
'x,y,z'
loop_
_atom_site_label
_atom_site_type_symbol
_atom_site_fract_x
_atom_site_fract_y
_atom_site_fract_z
Er1 Er 0.375 0.625 0.750
Er2 Er 0.625 0.375 0.250
Al1 Al 0.125 0.875 0.250
Al2 Al 0.132 0.563 0.325
Al3 Al 0.132 0.807 0.569
Al4 Al 0.193 0.263 0.325
Al5 Al 0.193 0.868 0.931
Al6 Al 0.263 0.193 0.825
Al7 Al 0.263 0.437 0.069
Al8 Al 0.437 0.263 0.569
Al9 Al 0.437 0.868 0.175
Al10 Al 0.563 0.132 0.825
Al11 Al 0.563 0.737 0.431
Al12 Al 0.737 0.563 0.931
Al13 Al 0.737 0.807 0.175
Al14 Al 0.807 0.132 0.069
Al15 Al 0.807 0.737 0.675
Al16 Al 0.868 0.193 0.431
Al17 Al 0.868 0.437 0.675
Al18 Al 0.875 0.125 0.750
Ni1 Ni 0.000 0.000 0.000
Ni2 Ni 0.000 0.000 0.500
Ni3 Ni 0.000 0.500 0.000
Ni4 Ni 0.500 0.000 0.500
```

Results
Space group: I4_1/amd
Energy of formation (meV per atom): -332
Density (Mg/m³): 4.562
E (eV per atom): -4.483


DFT (PBE) results for a relaxed Y3Er4Ir4 crystal.

Structure (CIF):
```
data_Y3Er4Ir4
_chemical_formula_sum 'Y3 Er4 Ir4'
_space_group_name_H-M_alt 'P 1'
_space_group_IT_number 1
_cell_length_a 9.180
_cell_length_b 9.180
_cell_length_c 9.180
_cell_angle_alpha 155.75
_cell_angle_beta 124.17
_cell_angle_gamma 61.74
loop_
_space_group_symop_operation_xyz
'x,y,z'
loop_
_atom_site_label
_atom_site_type_symbol
_atom_site_fract_x
_atom_site_fract_y
_atom_site_fract_z
Y1 Y 0.000 0.000 0.000
Y2 Y 0.398 0.898 0.500
Y3 Y 0.602 0.102 0.500
Er1 Er 0.024 0.333 0.691
Er2 Er 0.358 0.667 0.691
Er3 Er 0.642 0.333 0.309
Er4 Er 0.976 0.667 0.309
Ir1 Ir 0.245 0.245 0.000
Ir2 Ir 0.289 0.500 0.789
Ir3 Ir 0.711 0.500 0.211
Ir4 Ir 0.755 0.755 0.000
```

Results
Space group: Immm
Energy of formation (meV per atom): -704
Density (Mg/m³): 10.835
E (eV per atom): -7.348


So what do the calculations give for D(E_F)? Going down the list: 1.9, 10.1, 7.1 states/eV per cell.